The following is a DFT calculation (meta-GGA SCAN) of a crystal of KBr2Cl2 relaxed with PBEsol.

POSCAR file:
```
KBr2Cl2
1.0
5.672 0.000 0.000
0.000 5.672 0.000
0.000 0.000 9.912
K Br Cl
2 4 4
Direct
0.000 0.000 0.000
0.500 0.500 0.500
0.000 0.000 0.384
0.000 0.000 0.616
0.500 0.500 0.116
0.500 0.500 0.884
0.000 0.500 0.250
0.000 0.500 0.750
0.500 0.000 0.250
0.500 0.000 0.750
```

Calculated values
The calculation puts the total magnetization at 0.00 μB per atom. Its space-group type is I4/mmm, No. 139. The total energy comes out at -130.814 eV/cell. The calculation puts the energy relative to the elements, uncorrected at -440.7 meV/atom.

=====

The following is a DFT calculation (meta-GGA SCAN) of a crystal of MgFeI2N relaxed with PBEsol.

POSCAR file:
```
MgFeI2N
1.0
5.603 0.000 0.000
0.000 5.603 0.000
0.000 0.000 3.938
Mg Fe I N
1 1 2 1
Direct
0.000 0.000 0.000
0.500 0.500 0.500
0.000 0.500 0.000
0.500 0.000 0.000
0.000 0.000 0.500
```

Calculated values
The calculation puts the total magnetization at 1.05 μB per atom. Its space-group type is P4/mmm, No. 123. The total energy comes out at -103.195 eV/cell. The calculation puts the energy relative to the elements, uncorrected at 536.6 meV/atom.

=====

The following is a DFT calculation (meta-GGA SCAN) of a crystal of Li2BeInGe relaxed with PBEsol.

POSCAR file:
```
Li2BeInGe
1.0
4.732 0.000 0.000
0.000 4.732 0.000
0.000 0.000 4.071
Li Be In Ge
2 1 1 1
Direct
0.000 0.500 0.000
0.500 0.000 0.000
0.000 0.000 0.000
0.500 0.500 0.500
0.000 0.000 0.500
```

Calculated values
The calculation puts the total magnetization at 0.00 μB per atom. Its space-group type is P4/mmm, No. 123. The total energy comes out at -61.138 eV/cell. For the formation energy, the calculation gives 94 meV per atom.

=====

The following is a DFT calculation (meta-GGA SCAN) of a crystal of Sb2RhCl relaxed with PBEsol.

POSCAR file:
```
Sb2RhCl
1.0
4.667 0.000 0.000
0.000 4.667 0.000
0.000 0.000 7.012
Sb Rh Cl
4 2 2
Direct
0.000 0.500 0.250
0.000 0.500 0.750
0.500 0.000 0.250
0.500 0.000 0.750
0.000 0.000 0.000
0.500 0.500 0.500
0.000 0.000 0.500
0.500 0.500 0.000
```

Calculated values
The calculation puts the total magnetization at 0.00 μB per atom. Its space-group type is I4/mmm, No. 139. The total energy comes out at -231.832 eV/cell. The calculation puts the energy relative to the elements, uncorrected at 88.7 meV/atom.

=====

The following is a DFT calculation (meta-GGA SCAN) of a crystal of Mg2Nb2AgO8 relaxed with PBEsol.

POSCAR file:
```
Mg2Nb2AgO8
1.0
5.177 0.000 0.000
-0.088 6.098 0.000
-0.181 -2.454 9.855
Mg Nb Ag O
4 4 2 16
Direct
0.246 0.371 0.459
0.252 0.912 0.544
0.748 0.088 0.456
0.754 0.629 0.541
0.238 0.802 0.244
0.264 0.527 0.758
0.736 0.473 0.242
0.762 0.198 0.756
0.252 0.157 0.998
0.748 0.843 0.002
0.047 0.197 0.617
0.061 0.507 0.157
0.082 0.958 0.126
0.123 0.652 0.613
0.378 0.057 0.387
0.426 0.768 0.874
0.431 0.284 0.842
0.449 0.596 0.379
0.551 0.404 0.621
0.569 0.716 0.158
0.574 0.232 0.126
0.622 0.943 0.613
0.877 0.348 0.387
0.918 0.042 0.874
0.939 0.493 0.843
0.953 0.803 0.383
```

Calculated values
The calculation puts the total magnetization at 0.08 μB per atom. Its space-group type is P-1, No. 2. The total energy comes out at -377.799 eV/cell. The calculation puts the energy relative to the elements, uncorrected at -2421.2 meV/atom.

=====

The following is a DFT calculation (meta-GGA SCAN) of a crystal of ZrCu2Te relaxed with PBEsol.

POSCAR file:
```
ZrCu2Te
1.0
4.073 0.000 0.000
-2.036 3.527 0.000
0.000 0.000 15.042
Zr Cu Te
3 6 3
Direct
0.000 0.000 0.000
0.333 0.667 0.667
0.667 0.333 0.333
0.000 0.000 0.244
0.000 0.000 0.756
0.333 0.667 0.423
0.333 0.667 0.910
0.667 0.333 0.090
0.667 0.333 0.577
0.000 0.000 0.500
0.333 0.667 0.167
0.667 0.333 0.833
```

Calculated values
The calculation puts the total magnetization at 0.00 μB per atom. Its space-group type is R-3m, No. 166. The total energy comes out at -295.443 eV/cell. The calculation puts the energy relative to the elements, uncorrected at -33.2 meV/atom.